Compound: NiAs2SeF
Source: the Alexandria database
Functional: PBE with a Hubbard U
Structure: relaxed

a = 4.5405 Å, b = 4.5405 Å, c = 4.5929 Å
α = 90.00°, β = 90.00°, γ = 90.00°
Atoms (fractional coordinates):
Ni1 0.0000 0.0000 0.0000
Se1 0.0000 0.0000 0.5000
F1 0.5000 0.5000 0.5000
As1 0.5000 0.0000 0.0000
As2 0.0000 0.5000 0.0000

Calculated values
- E above lowest polymorph (eV per atom) = 0.000
- total energy (eV/atom) = -3.0217
- space group = P4/mmm